This record from the Alexandria database describes crystalline PmMg2Ga at its relaxed geometry. The functional is PBE.

M_tot in μB per formula unit: 0.00
Energy above the most stable polymorph in this dataset in eV/atom: 0.000

Lattice parameters (Å, degrees): 5.932 5.932 7.506 90.00 90.00 134.37
Atoms (fractional coordinates):
1 Pm 0.076 0.924 0.750
2 Pm 0.924 0.076 0.250
3 Mg 0.363 0.637 0.555
4 Mg 0.363 0.637 0.945
5 Mg 0.637 0.363 0.055
6 Mg 0.637 0.363 0.445
7 Ga 0.210 0.790 0.250
8 Ga 0.790 0.210 0.750

***

This record from the Alexandria database describes crystalline PmMgGa at its relaxed geometry. The functional is PBE.

M_tot in μB per formula unit: 0.00
Energy above the most stable polymorph in this dataset in eV/atom: 0.208

Lattice parameters (Å, degrees): 6.597 6.597 6.597 149.88 149.88 43.12
Atoms (fractional coordinates):
1 Pm 0.000 0.000 0.000
2 Mg 0.706 0.706 0.000
3 Ga 0.339 0.339 0.000

***

This record from the Alexandria database describes crystalline Pm2Mg6Ga3 at its relaxed geometry. The functional is PBE.

M_tot in μB per formula unit: 0.00
Energy in eV per atom: -2.79

Lattice parameters (Å, degrees): 8.216 8.216 4.438 90.00 90.00 120.00
Atoms (fractional coordinates):
1 Pm 0.333 0.667 0.000
2 Pm 0.667 0.333 0.000
3 Mg 0.000 0.285 0.500
4 Mg 0.000 0.790 0.000
5 Mg 0.210 0.210 0.000
6 Mg 0.285 0.000 0.500
7 Mg 0.715 0.715 0.500
8 Mg 0.790 0.000 0.000
9 Ga 0.000 0.608 0.500
10 Ga 0.392 0.392 0.500
11 Ga 0.608 0.000 0.500

***

D(E_F) across the listed records, respectively: 0.301 0.737 0.602 states/eV/atom.
Calculated volume across the listed records, respectively: 189 72 259 Å³/cell.